# ScZn2Os

An optimized crystal structure of ScZn2Os (PBEsol, the Alexandria database).

Unit cell a=9.2638 b=9.2638 c=9.2638 alpha=17.35 beta=17.35 gamma=17.35
Sites, in units of the cell vectors:
Sc  0.0000  0.0000  0.0000
Zn  0.2438  0.2438  0.2438
Zn  0.7562  0.7562  0.7562
Os  0.5000  0.5000  0.5000

Results
- formation energy (eV/atom) = 0.17

# Hf2Ni2Sn

An optimized crystal structure of Hf2Ni2Sn (PBEsol, the Alexandria database).

Unit cell a=6.9879 b=6.9879 c=3.3363 alpha=90.00 beta=90.00 gamma=90.00
Sites, in units of the cell vectors:
Hf  0.1666  0.3334  0.0000
Hf  0.3334  0.8334  0.0000
Hf  0.6666  0.1666  0.0000
Hf  0.8334  0.6666  0.0000
Ni  0.1259  0.6259  0.5000
Ni  0.3741  0.1259  0.5000
Ni  0.6259  0.8741  0.5000
Ni  0.8741  0.3741  0.5000
Sn  0.0000  0.0000  0.5000
Sn  0.5000  0.5000  0.5000

Results
- formation energy (eV/atom) = -0.61

# TaTeN2Cl

An optimized crystal structure of TaTeN2Cl (PBEsol, the Alexandria database).

Unit cell a=3.9418 b=3.9418 c=4.8983 alpha=90.00 beta=90.00 gamma=90.00
Sites, in units of the cell vectors:
Ta  0.0000  0.0000  0.0000
Te  0.5000  0.5000  0.0000
N  0.0000  0.5000  0.5000
N  0.5000  0.0000  0.5000
Cl  0.5000  0.5000  0.5000

Results
- raw formation energy (meV per atom) = 2144

Respective total magnetization values: 0.004, 0.000, 0.001 μB per formula unit.